Density functional theory data (SCAN) for a PBEsol-optimized structure of Ca3La.

Results
**SG**: No. 12
**Crystal system**: monoclinic
**Total magnetic moment**: 0.185 μB/atom
**Polymorph energy (0 for the lowest one)**: 0.046 eV per atom
**Formation enthalpy at 0 K**: 0.08 eV per atom
**Density**: 2.78 g cm⁻³
**Volume**: 154.8 Å³ per cell
**DFT total energy**: -71.8 eV/cell

Unit cell a=3.7068 b=6.5827 c=6.6818 alpha=98.04 beta=90.00 gamma=106.35
Each line ends with the local moment (μB).
Fractional coordinates of all 4 atoms:
La 0.0000 0.0000 0.0000  0.25
Ca 0.5000 0.0000 0.5000  0.03
Ca 0.2523 0.5046 0.7532  0.02
Ca 0.7477 0.4954 0.2468  0.02


Density functional theory data (SCAN) for a PBEsol-optimized structure of Ca3La.

Results
**SG**: No. 187
**Crystal system**: hexagonal
**Total magnetic moment**: 0.320 μB/atom
**Polymorph energy (0 for the lowest one)**: 0.000 eV per atom
**Formation enthalpy at 0 K**: 0.03 eV per atom
**Density**: 2.79 g cm⁻³
**Volume**: 154.3 Å³ per cell
**DFT total energy**: -72.0 eV/cell

Unit cell a=3.7544 b=3.7544 c=12.6417 alpha=90.00 beta=90.00 gamma=120.00
Each line ends with the local moment (μB).
Fractional coordinates of all 4 atoms:
Ca 0.0000 0.0000 0.2545  -0.04
Ca 0.3333 0.6667 0.0000  -0.06
La 0.3333 0.6667 0.5000  -0.28
Ca 0.0000 0.0000 0.7455  -0.04


The lowest density belongs to which entry?
number 1


Which of these has the lowest density?
number 1